Material: WCOF2
Method: DFT, PBE with a Hubbard U
State: optimized geometry

Structure (POSCAR):
```
WCOF2
1.0
4.185 0.000 0.000
0.000 4.185 0.000
0.000 0.000 3.850
W C O F
1 1 1 2
Cartesian
0.000 0.000 0.000
2.093 2.093 1.925
0.000 0.000 1.925
0.000 2.093 0.000
2.093 0.000 0.000
```

Density of states at the Fermi level (states/eV per cell): 5.485
Space group: P4/mmm (123)
Total DFT energy (no corrections) (eV per atom): -5.165
Spin magnetization (μB/atom): 0.288